(1)
5
Lattice="4.1755 0.0000 0.0000 0.0000 4.1755 0.0000 0.0000 0.0000 6.8741" Properties=species:S:1:pos:R:3 comment="AcPmPO2 PBE-GGA relaxed" e_form_raw_ev_per_atom=-2.472 pbc="T T T"
Ac 0.0000 0.0000 0.0000
Pm 2.0877 2.0877 2.3631
P 2.0877 2.0877 5.2438
O 0.0000 2.0877 1.4115
O 2.0877 0.0000 1.4115

(2)
12
Lattice="5.1628 0.0000 0.0000 -2.5814 4.4711 0.0000 0.0000 0.0000 6.8944" Properties=species:S:1:pos:R:3 comment="AcPm2PO8 PBE-GGA relaxed" e_form_raw_ev_per_atom=-2.524 pbc="T T T"
Ac 0.0000 0.0000 0.0000
Pm 0.0000 2.9808 2.5356
Pm 2.5814 1.4904 4.3588
P 0.0000 0.0000 3.4472
O 0.0000 1.3802 4.4506
O -1.3862 3.7810 4.4506
O 1.1952 0.6901 2.4438
O 0.0000 2.9808 0.3512
O 2.5814 1.4904 6.5432
O 1.3862 3.7810 4.4506
O 3.9676 0.6901 2.4438
O 2.5814 3.0910 2.4438

(3)
12
Lattice="5.4975 0.0000 0.0000 -2.7488 4.7610 0.0000 0.0000 0.0000 6.3445" Properties=species:S:1:pos:R:3 comment="Ac2PmPO8 PBE-GGA relaxed" e_form_raw_ev_per_atom=-2.418 pbc="T T T"
Ac 0.0000 3.1740 2.2710
Ac 2.7488 1.5870 4.0734
Pm 0.0000 0.0000 0.0000
P 0.0000 0.0000 3.1722
O 0.0000 1.3924 4.2016
O -1.5429 4.0648 4.2016
O 1.2059 0.6962 2.1428
O 0.0000 3.1740 0.0780
O 2.7488 1.5870 6.2664
O 1.5429 4.0648 4.2016
O 4.2916 0.6962 2.1428
O 2.7488 3.3685 2.1428